No. 1
Material: SrCo2Pt
Method: DFT, PBE-GGA
State: relaxed

Calculated values
raw total energy	-5.331	eV per atom
total moment	0.822	μB/atom
theoretical density	9.60	Mg/m³

abc: 3.085 3.105 7.236
angles: 90.00 90.00 90.00
Fractional coordinates of all 4 atoms:
1 Sr 0.000 0.000 0.000
2 Co 0.000 0.000 0.467
3 Co 0.500 0.500 0.328
4 Pt 0.500 0.500 0.690

---

No. 2
Material: SrCo2Pt
Method: DFT, PBE-GGA
State: relaxed

Calculated values
raw total energy	-5.084	eV per atom
total moment	0.981	μB/atom
theoretical density	8.98	Mg/m³

abc: 5.473 5.473 5.473
angles: 144.58 127.91 64.57
Fractional coordinates of all 4 atoms:
1 Sr 0.000 0.000 0.000
2 Co 0.285 0.785 0.500
3 Co 0.715 0.215 0.500
4 Pt 0.500 0.500 0.000

---

No. 3
Material: SrCo2Pt
Method: DFT, PBE-GGA
State: relaxed

Calculated values
raw total energy	-5.192	eV per atom
total moment	0.893	μB/atom
theoretical density	9.42	Mg/m³

abc: 5.521 5.521 5.521
angles: 147.96 126.94 63.35
Fractional coordinates of all 4 atoms:
1 Sr 0.000 0.000 0.000
2 Co 0.297 0.797 0.500
3 Co 0.481 0.481 0.000
4 Pt 0.708 0.208 0.500